# BeSiAu (PBE, relaxed)
data_BeSiAu
_chemical_formula_sum 'Be2 Si2 Au2'
_space_group_name_H-M_alt 'P 1'
_space_group_IT_number 1
_cell_length_a 4.946
_cell_length_b 4.261
_cell_length_c 4.261
_cell_angle_alpha 87.83
_cell_angle_beta 90.00
_cell_angle_gamma 90.00
loop_
_space_group_symop_operation_xyz
'x,y,z'
loop_
_atom_site_label
_atom_site_fract_x
_atom_site_fract_y
_atom_site_fract_z
Be1 0.235 0.000 0.000
Be2 0.765 0.000 0.000
Si1 0.000 0.473 0.871
Si2 0.000 0.871 0.473
Au1 0.500 0.497 0.996
Au2 0.500 0.996 0.497
# formation energy without anion corrections	0.036	eV per atom

=====

# Tc2Ir2Rh (PBE, relaxed)
data_Tc2Ir2Rh
_chemical_formula_sum 'Tc4 Ir4 Rh2'
_space_group_name_H-M_alt 'P 1'
_space_group_IT_number 1
_cell_length_a 7.466
_cell_length_b 7.466
_cell_length_c 2.744
_cell_angle_alpha 90.00
_cell_angle_beta 90.00
_cell_angle_gamma 90.00
loop_
_space_group_symop_operation_xyz
'x,y,z'
loop_
_atom_site_label
_atom_site_fract_x
_atom_site_fract_y
_atom_site_fract_z
Tc1 0.171 0.329 0.000
Tc2 0.329 0.829 0.000
Tc3 0.671 0.171 0.000
Tc4 0.829 0.671 0.000
Ir1 0.125 0.625 0.500
Ir2 0.375 0.125 0.500
Ir3 0.625 0.875 0.500
Ir4 0.875 0.375 0.500
Rh1 0.000 0.000 0.500
Rh2 0.500 0.500 0.500
# ΔH_f (0 K)	76	meV/atom

=====

# Zr3BiH (PBE, relaxed)
data_Zr3BiH
_chemical_formula_sum 'Zr6 Bi2 H2'
_space_group_name_H-M_alt 'P 1'
_space_group_IT_number 1
_cell_length_a 5.251
_cell_length_b 6.159
_cell_length_c 5.868
_cell_angle_alpha 90.00
_cell_angle_beta 90.81
_cell_angle_gamma 90.00
loop_
_space_group_symop_operation_xyz
'x,y,z'
loop_
_atom_site_label
_atom_site_fract_x
_atom_site_fract_y
_atom_site_fract_z
Zr1 0.242 0.250 0.366
Zr2 0.246 0.510 0.850
Zr3 0.246 0.990 0.850
Zr4 0.754 0.010 0.150
Zr5 0.754 0.490 0.150
Zr6 0.758 0.750 0.634
Bi1 0.250 0.750 0.348
Bi2 0.750 0.250 0.652
H1 0.463 0.250 0.079
H2 0.537 0.750 0.921
# electronic total energy	-0.25052	hartree per atom

=====

# SiHgRh2 (PBE, relaxed)
data_SiHgRh2
_chemical_formula_sum 'Si1 Hg1 Rh2'
_space_group_name_H-M_alt 'P 1'
_space_group_IT_number 1
_cell_length_a 4.427
_cell_length_b 4.427
_cell_length_c 4.427
_cell_angle_alpha 60.00
_cell_angle_beta 60.00
_cell_angle_gamma 60.00
loop_
_space_group_symop_operation_xyz
'x,y,z'
loop_
_atom_site_label
_atom_site_fract_x
_atom_site_fract_y
_atom_site_fract_z
Si1 0.000 0.000 0.000
Hg1 0.500 0.500 0.500
Rh1 0.250 0.250 0.250
Rh2 0.750 0.750 0.750
# formation energy without anion corrections	-0.097	eV per atom

=====

# Hf3CrCo (PBE, relaxed)
data_Hf3CrCo
_chemical_formula_sum 'Hf3 Cr1 Co1'
_space_group_name_H-M_alt 'P 1'
_space_group_IT_number 1
_cell_length_a 4.765
_cell_length_b 4.765
_cell_length_c 4.765
_cell_angle_alpha 90.00
_cell_angle_beta 90.00
_cell_angle_gamma 90.00
loop_
_space_group_symop_operation_xyz
'x,y,z'
loop_
_atom_site_label
_atom_site_fract_x
_atom_site_fract_y
_atom_site_fract_z
Hf1 0.000 0.000 0.500
Hf2 0.000 0.500 0.000
Hf3 0.500 0.000 0.000
Cr1 0.500 0.500 0.500
Co1 0.000 0.000 0.000
# ΔH_f (0 K)	455	meV/atom

=====

# CoPRh2 (PBE, relaxed)
data_CoPRh2
_chemical_formula_sum 'Co2 P2 Rh4'
_space_group_name_H-M_alt 'P 1'
_space_group_IT_number 1
_cell_length_a 6.478
_cell_length_b 6.478
_cell_length_c 6.478
_cell_angle_alpha 132.30
_cell_angle_beta 132.30
_cell_angle_gamma 69.76
loop_
_space_group_symop_operation_xyz
'x,y,z'
loop_
_atom_site_label
_atom_site_fract_x
_atom_site_fract_y
_atom_site_fract_z
Co1 0.000 0.000 0.000
Co2 0.750 0.250 0.500
P1 0.250 0.750 0.500
P2 0.500 0.500 0.000
Rh1 0.145 0.625 0.020
Rh2 0.375 0.395 0.520
Rh3 0.605 0.125 0.980
Rh4 0.875 0.855 0.480
# ΔH_f (0 K)	297	meV/atom